Entry 1:
{"formula": "Sm2HoHg", "functional": "PBE", "state": "optimized geometry", "e_above_lowest_polymorph_kj_per_mol_fu": 5, "magmom_total_mub_per_atom": 0.000, "ef_ev_per_atom": -0.21, "dos_ef_per_ev_fu": 4.4, "energy_ev_per_atom": -3.7935, "lattice_angstrom": [[3.672, 0.000, 0.000], [0.000, 3.672, 0.000], [0.000, 0.000, 8.908]], "species": ["Sm", "Sm", "Ho", "Hg"], "fractional_positions": [[0.000, 0.000, 0.225], [0.000, 0.000, 0.775], [0.500, 0.500, 0.500], [0.500, 0.500, 0.000]]}

=====

Entry 2:
{"formula": "Th11In9Fe4", "functional": "PBE", "state": "optimized geometry", "magmom_total_mub_per_atom": 0.000, "ef_ev_per_atom": -0.25, "dos_ef_per_ev_fu": 21.9, "energy_ev_per_atom": -6.0858, "lattice_angstrom": [[7.427, -11.033, 0.000], [7.427, 11.033, 0.000], [0.000, 0.000, 3.778]], "species": ["Th", "Th", "Th", "Th", "Th", "Th", "Th", "Th", "Th", "Th", "Th", "In", "In", "In", "In", "In", "In", "In", "In", "In", "Fe", "Fe", "Fe", "Fe"], "fractional_positions": [[0.000, 0.000, 0.000], [0.088, 0.423, 0.000], [0.154, 0.846, 0.000], [0.316, 0.316, 0.000], [0.375, 0.625, 0.000], [0.423, 0.088, 0.000], [0.577, 0.912, 0.000], [0.625, 0.375, 0.000], [0.684, 0.684, 0.000], [0.846, 0.154, 0.000], [0.912, 0.577, 0.000], [0.081, 0.221, 0.500], [0.158, 0.639, 0.500], [0.221, 0.081, 0.500], [0.361, 0.842, 0.500], [0.500, 0.500, 0.500], [0.639, 0.158, 0.500], [0.779, 0.919, 0.500], [0.842, 0.361, 0.500], [0.919, 0.779, 0.500], [0.242, 0.439, 0.500], [0.439, 0.242, 0.500], [0.561, 0.758, 0.500], [0.758, 0.561, 0.500]]}

=====

Entry 3:
{"formula": "ReRu2Br", "functional": "PBE", "state": "optimized geometry", "e_above_lowest_polymorph_kj_per_mol_fu": 168, "magmom_total_mub_per_atom": 0.000, "e_form_raw_ev_per_fu": 3.78, "dos_ef_per_ev_fu": 4.1, "energy_ev_per_atom": -7.2232, "lattice_angstrom": [[-1.464, 2.283, 4.488], [1.464, -2.283, 4.488], [1.464, 2.283, -4.488]], "species": ["Re", "Ru", "Ru", "Br"], "fractional_positions": [[0.000, 0.000, 0.000], [0.264, 0.764, 0.500], [0.736, 0.236, 0.500], [0.500, 0.500, 0.000]]}

=====

Entry 4:
{"formula": "CaV2BW", "functional": "PBE", "state": "optimized geometry", "magmom_total_mub_per_atom": 0.146, "ef_ev_per_atom": 0.92, "dos_ef_per_ev_fu": 5.6, "energy_ev_per_atom": -7.0548, "lattice_angstrom": [[4.137, 0.000, 0.000], [0.000, 4.137, 0.000], [0.000, 0.000, 4.738]], "species": ["Ca", "V", "V", "B", "W"], "fractional_positions": [[0.000, 0.000, 0.000], [0.000, 0.500, 0.500], [0.500, 0.000, 0.500], [0.000, 0.000, 0.500], [0.500, 0.500, 0.000]]}

=====

Number 1 is which compound? Sm2HoHg